# 1
Density functional theory data (GGA-PBE) for an optimized crystal structure of Cu7Ni2Au2.

Unit cell a=5.983 b=5.983 c=4.596 alpha=109.30 beta=109.30 gamma=86.73
Sites, in units of the cell vectors:
Cu: 0.000 0.000 0.000
Cu: 0.077 0.583 0.838
Cu: 0.411 0.411 0.177
Cu: 0.417 0.923 0.162
Cu: 0.583 0.077 0.838
Cu: 0.589 0.589 0.823
Cu: 0.923 0.417 0.162
Ni: 0.266 0.266 0.534
Ni: 0.734 0.734 0.466
Au: 0.190 0.810 0.500
Au: 0.810 0.190 0.500

Computed properties:
Electronic total energy (eV per cell): -45.6
Calculated density (g cm⁻³): 10.853

---

# 2
Density functional theory data (GGA-PBE) for an optimized crystal structure of Hf3Mg2Cd.

Unit cell a=8.105 b=8.105 c=11.159 alpha=103.47 beta=103.47 gamma=22.15
Sites, in units of the cell vectors:
Hf: 0.079 0.079 0.448
Hf: 0.256 0.256 0.615
Hf: 0.398 0.398 0.307
Hf: 0.602 0.602 0.693
Hf: 0.744 0.744 0.385
Hf: 0.921 0.921 0.552
Mg: 0.260 0.260 0.883
Mg: 0.437 0.437 0.814
Mg: 0.563 0.563 0.186
Mg: 0.740 0.740 0.117
Cd: 0.091 0.091 0.950
Cd: 0.909 0.909 0.050

Computed properties:
Electronic total energy (eV per cell): -67.4
Calculated density (g cm⁻³): 8.617

---

# 3
Density functional theory data (GGA-PBE) for an optimized crystal structure of BaTbPt2.

Unit cell a=3.631 b=3.631 c=7.592 alpha=90.00 beta=90.00 gamma=90.00
Sites, in units of the cell vectors:
Ba: 0.000 0.000 0.000
Tb: 0.000 0.000 0.500
Pt: 0.500 0.500 0.300
Pt: 0.500 0.500 0.700

Computed properties:
Energy above the most stable polymorph in this dataset (kJ/mol of formula units): 0
Calculated density (g cm⁻³): 11.389